## ErZn2Ag (PBE)

Data for a relaxed structure of ErZn2Ag.

As for the formation energy from the elements: -0.173 eV per atom. The value obtained for the total DFT energy (no corrections) is -2.66 eV/atom. The volume is 19.8 Å³/atom.

It has space group P4/mmm (No. 123), with a = 4.2740 Å, b = 4.2740 Å, c = 4.3369 Å, α = 90.00°, β = 90.00° and γ = 90.00°. The asymmetric unit holds Er at (0.0000, 0.0000, 0.0000), Zn at (0.0000, 0.5000, 0.5000) and Ag at (0.5000, 0.5000, 0.0000).